(1)
A relaxed structure of Pu2ThC. Source: Alexandria, functional PBE.

```
data_Pu2ThC
_chemical_formula_sum 'Pu2 Th1 C1'
_space_group_name_H-M_alt 'P 1'
_space_group_IT_number 1
_space_group_name_Hall 'P 1'
_cell_length_a 3.938
_cell_length_b 3.938
_cell_length_c 6.625
_cell_angle_alpha 72.71
_cell_angle_beta 72.71
_cell_angle_gamma 60.00
loop_
_atom_site_label
_atom_site_type_symbol
_atom_site_fract_x
_atom_site_fract_y
_atom_site_fract_z
Th1 Th 0.500 0.500 0.500
Pu1 Pu 0.309 0.309 0.073
Pu2 Pu 0.691 0.691 0.927
C1 C 0.000 0.000 0.000
```

As for the total magnetization: 0.0 μB per formula unit. The uncorrected energy is -10.935 eV per atom. The value obtained for the energy of formation from the pure elements is 392 meV per atom. Its mass density is 14.543 g/cm3.



(2)
A relaxed structure of PuTh3C3. Source: Alexandria, functional PBE.

```
data_PuTh3C3
_chemical_formula_sum 'Pu2 Th6 C6'
_space_group_name_H-M_alt 'P 1'
_space_group_IT_number 1
_space_group_name_Hall 'P 1'
_cell_length_a 5.351
_cell_length_b 7.329
_cell_length_c 7.329
_cell_angle_alpha 92.52
_cell_angle_beta 90.00
_cell_angle_gamma 90.00
loop_
_atom_site_label
_atom_site_type_symbol
_atom_site_fract_x
_atom_site_fract_y
_atom_site_fract_z
C1 C 0.750 0.392 0.137
C2 C 0.250 0.608 0.863
C3 C 0.750 0.876 0.124
C4 C 0.750 0.863 0.608
C5 C 0.250 0.137 0.392
C6 C 0.250 0.124 0.876
Th1 Th 0.250 0.882 0.118
Th2 Th 0.750 0.118 0.882
Th3 Th 0.250 0.379 0.131
Th4 Th 0.750 0.621 0.869
Th5 Th 0.750 0.131 0.379
Th6 Th 0.250 0.869 0.621
Pu1 Pu 0.250 0.363 0.637
Pu2 Pu 0.750 0.637 0.363
```

As for the total magnetization: 5.4 μB per formula unit. The distance to the lowest polymorph of the same formula is 0 meV/atom. The uncorrected energy is -9.346 eV per atom. The value obtained for the energy of formation from the pure elements is -165 meV per atom. Its mass density is 11.292 g/cm3.



(3)
A relaxed structure of PuThC3. Source: Alexandria, functional PBE.

```
data_PuThC3
_chemical_formula_sum 'Pu2 Th2 C6'
_space_group_name_H-M_alt 'P 1'
_space_group_IT_number 1
_space_group_name_Hall 'P 1'
_cell_length_a 3.446
_cell_length_b 6.598
_cell_length_c 7.199
_cell_angle_alpha 90.00
_cell_angle_beta 90.00
_cell_angle_gamma 90.00
loop_
_atom_site_label
_atom_site_type_symbol
_atom_site_fract_x
_atom_site_fract_y
_atom_site_fract_z
Th1 Th 0.000 0.750 0.183
Th2 Th 0.000 0.250 0.817
Pu1 Pu 0.500 0.250 0.241
Pu2 Pu 0.500 0.750 0.759
C1 C 0.500 0.944 0.426
C2 C 0.500 0.056 0.574
C3 C 0.500 0.444 0.574
C4 C 0.500 0.000 0.000
C5 C 0.500 0.556 0.426
C6 C 0.500 0.500 0.000
```

As for the total magnetization: 5.3 μB per formula unit. The uncorrected energy is -9.632 eV per atom. The value obtained for the energy of formation from the pure elements is 253 meV per atom. Its mass density is 10.389 g/cm3.



(4)
A relaxed structure of PuTh4C5. Source: Alexandria, functional PBE.

```
data_PuTh4C5
_chemical_formula_sum 'Pu1 Th4 C5'
_space_group_name_H-M_alt 'P 1'
_space_group_IT_number 1
_space_group_name_Hall 'P 1'
_cell_length_a 3.747
_cell_length_b 3.747
_cell_length_c 13.412
_cell_angle_alpha 98.03
_cell_angle_beta 98.03
_cell_angle_gamma 90.00
loop_
_atom_site_label
_atom_site_type_symbol
_atom_site_fract_x
_atom_site_fract_y
_atom_site_fract_z
C1 C 0.700 0.700 0.400
C2 C 0.500 0.500 0.000
C3 C 0.910 0.910 0.820
C4 C 0.300 0.300 0.600
C5 C 0.090 0.090 0.180
Pu1 Pu 0.000 0.000 0.000
Th1 Th 0.200 0.200 0.400
Th2 Th 0.597 0.597 0.193
Th3 Th 0.800 0.800 0.600
Th4 Th 0.403 0.403 0.807
```

As for the total magnetization: 3.7 μB per formula unit. The uncorrected energy is -9.178 eV per atom. The value obtained for the energy of formation from the pure elements is -165 meV per atom. Its mass density is 11.083 g/cm3.



(5)
A relaxed structure of PuTh2UC4. Source: Alexandria, functional PBE.

```
data_PuTh2UC4
_chemical_formula_sum 'Pu1 Th2 U1 C4'
_space_group_name_H-M_alt 'P 1'
_space_group_IT_number 1
_space_group_name_Hall 'P 1'
_cell_length_a 3.639
_cell_length_b 6.293
_cell_length_c 6.324
_cell_angle_alpha 69.83
_cell_angle_beta 90.00
_cell_angle_gamma 90.00
loop_
_atom_site_label
_atom_site_type_symbol
_atom_site_fract_x
_atom_site_fract_y
_atom_site_fract_z
Th1 Th 0.000 0.000 0.000
Th2 Th 0.500 0.000 0.500
C1 C 0.000 0.717 0.753
C2 C 0.500 0.713 0.277
C3 C 0.500 0.287 0.723
C4 C 0.000 0.283 0.247
U1 U 0.000 0.500 0.500
Pu1 Pu 0.500 0.500 0.000
```

As for the total magnetization: 4.1 μB per formula unit. The uncorrected energy is -9.814 eV per atom. The value obtained for the energy of formation from the pure elements is -145 meV per atom. Its mass density is 12.145 g/cm3.



(6)
A relaxed structure of Pu2ThWC4. Source: Alexandria, functional PBE.

```
data_Pu2ThWC4
_chemical_formula_sum 'Pu4 Th2 W2 C8'
_space_group_name_H-M_alt 'P 1'
_space_group_IT_number 1
_space_group_name_Hall 'P 1'
_cell_length_a 3.490
_cell_length_b 6.265
_cell_length_c 12.349
_cell_angle_alpha 90.00
_cell_angle_beta 90.00
_cell_angle_gamma 106.17
loop_
_atom_site_label
_atom_site_type_symbol
_atom_site_fract_x
_atom_site_fract_y
_atom_site_fract_z
W1 W 0.156 0.312 0.250
W2 W 0.844 0.688 0.750
C1 C 0.441 0.881 0.750
C2 C 0.739 0.478 0.628
C3 C 0.559 0.119 0.250
C4 C 0.000 0.000 0.500
C5 C 0.261 0.522 0.128
C6 C 0.000 0.000 0.000
C7 C 0.261 0.522 0.372
C8 C 0.739 0.478 0.872
Pu1 Pu 0.631 0.262 0.463
Pu2 Pu 0.369 0.738 0.537
Pu3 Pu 0.369 0.738 0.963
Pu4 Pu 0.631 0.262 0.037
Th1 Th 0.107 0.213 0.750
Th2 Th 0.893 0.787 0.250
```

As for the total magnetization: 9.1 μB per formula unit. The uncorrected energy is -10.712 eV per atom. The value obtained for the energy of formation from the pure elements is 30 meV per atom. Its mass density is 12.191 g/cm3.



(7)
A relaxed structure of PuTh2WC4. Source: Alexandria, functional PBE.

```
data_PuTh2WC4
_chemical_formula_sum 'Pu2 Th4 W2 C8'
_space_group_name_H-M_alt 'P 1'
_space_group_IT_number 1
_space_group_name_Hall 'P 1'
_cell_length_a 3.617
_cell_length_b 6.420
_cell_length_c 12.902
_cell_angle_alpha 90.00
_cell_angle_beta 90.00
_cell_angle_gamma 106.36
loop_
_atom_site_label
_atom_site_type_symbol
_atom_site_fract_x
_atom_site_fract_y
_atom_site_fract_z
W1 W 0.836 0.673 0.750
W2 W 0.164 0.327 0.250
C1 C 0.265 0.531 0.134
C2 C 0.265 0.531 0.366
C3 C 0.000 0.000 0.000
C4 C 0.000 0.000 0.500
C5 C 0.735 0.469 0.634
C6 C 0.421 0.842 0.750
C7 C 0.735 0.469 0.866
C8 C 0.579 0.158 0.250
Pu1 Pu 0.894 0.789 0.250
Pu2 Pu 0.106 0.211 0.750
Th1 Th 0.632 0.264 0.039
Th2 Th 0.368 0.736 0.539
Th3 Th 0.368 0.736 0.961
Th4 Th 0.632 0.264 0.461
```

As for the total magnetization: 5.6 μB per formula unit. The uncorrected energy is -9.817 eV per atom. The value obtained for the energy of formation from the pure elements is 60 meV per atom. Its mass density is 10.858 g/cm3.



(8)
A relaxed structure of PuTi2C2. Source: Alexandria, functional PBE.

```
data_PuTi2C2
_chemical_formula_sum 'Pu2 Ti4 C4'
_space_group_name_H-M_alt 'P 1'
_space_group_IT_number 1
_space_group_name_Hall 'P 1'
_cell_length_a 5.651
_cell_length_b 5.651
_cell_length_c 5.726
_cell_angle_alpha 112.09
_cell_angle_beta 112.09
_cell_angle_gamma 101.22
loop_
_atom_site_label
_atom_site_type_symbol
_atom_site_fract_x
_atom_site_fract_y
_atom_site_fract_z
Ti1 Ti 0.472 0.732 0.968
Ti2 Ti 0.768 0.028 0.532
Ti3 Ti 0.232 0.972 0.468
Ti4 Ti 0.528 0.268 0.032
C1 C 0.175 0.325 0.750
C2 C 0.418 0.082 0.250
C3 C 0.825 0.675 0.250
C4 C 0.582 0.918 0.750
Pu1 Pu 0.872 0.628 0.750
Pu2 Pu 0.128 0.372 0.250
```

As for the total magnetization: 5.7 μB per formula unit. The uncorrected energy is -9.924 eV per atom. The value obtained for the energy of formation from the pure elements is -211 meV per atom. Its mass density is 8.362 g/cm3.



(9)
A relaxed structure of PuTiC2. Source: Alexandria, functional PBE.

```
data_PuTiC2
_chemical_formula_sum 'Pu1 Ti1 C2'
_space_group_name_H-M_alt 'P 1'
_space_group_IT_number 1
_space_group_name_Hall 'P 1'
_cell_length_a 3.260
_cell_length_b 3.260
_cell_length_c 5.803
_cell_angle_alpha 73.68
_cell_angle_beta 73.68
_cell_angle_gamma 60.00
loop_
_atom_site_label
_atom_site_type_symbol
_atom_site_fract_x
_atom_site_fract_y
_atom_site_fract_z
C1 C 0.742 0.742 0.774
C2 C 0.258 0.258 0.226
Pu1 Pu 0.500 0.500 0.500
Ti1 Ti 0.000 0.000 0.000
```

As for the total magnetization: 3.7 μB per formula unit. The uncorrected energy is -10.411 eV per atom. The value obtained for the energy of formation from the pure elements is -242 meV per atom. Its mass density is 10.382 g/cm3.



(10)
A relaxed structure of Pu2TlC. Source: Alexandria, functional PBE.

```
data_Pu2TlC
_chemical_formula_sum 'Pu2 Tl1 C1'
_space_group_name_H-M_alt 'P 1'
_space_group_IT_number 1
_space_group_name_Hall 'P 1'
_cell_length_a 4.011
_cell_length_b 4.011
_cell_length_c 6.233
_cell_angle_alpha 71.23
_cell_angle_beta 71.23
_cell_angle_gamma 60.00
loop_
_atom_site_label
_atom_site_type_symbol
_atom_site_fract_x
_atom_site_fract_y
_atom_site_fract_z
C1 C 0.000 0.000 0.000
Pu1 Pu 0.690 0.690 0.930
Pu2 Pu 0.310 0.310 0.070
Tl1 Tl 0.500 0.500 0.500
```

As for the total magnetization: 1.5 μB per formula unit. The uncorrected energy is -9.702 eV per atom. The value obtained for the energy of formation from the pure elements is 361 meV per atom. Its mass density is 14.511 g/cm3.



(11)
A relaxed structure of Pu2TlC. Source: Alexandria, functional PBE.

```
data_Pu2TlC
_chemical_formula_sum 'Pu2 Tl1 C1'
_space_group_name_H-M_alt 'P 1'
_space_group_IT_number 1
_space_group_name_Hall 'P 1'
_cell_length_a 3.135
_cell_length_b 3.135
_cell_length_c 8.236
_cell_angle_alpha 90.00
_cell_angle_beta 90.00
_cell_angle_gamma 90.00
loop_
_atom_site_label
_atom_site_type_symbol
_atom_site_fract_x
_atom_site_fract_y
_atom_site_fract_z
Pu1 Pu 0.000 0.000 0.832
Pu2 Pu 0.000 0.000 0.168
Tl1 Tl 0.500 0.500 0.500
C1 C 0.500 0.500 0.000
```

As for the total magnetization: 10.2 μB per formula unit. The uncorrected energy is -9.984 eV per atom. The value obtained for the energy of formation from the pure elements is 79 meV per atom. Its mass density is 14.450 g/cm3.



(12)
A relaxed structure of Pu6Tl2C. Source: Alexandria, functional PBE.

```
data_Pu6Tl2C
_chemical_formula_sum 'Pu12 Tl4 C2'
_space_group_name_H-M_alt 'P 1'
_space_group_IT_number 1
_space_group_name_Hall 'P 1'
_cell_length_a 6.836
_cell_length_b 6.835
_cell_length_c 9.658
_cell_angle_alpha 90.00
_cell_angle_beta 89.99
_cell_angle_gamma 90.00
loop_
_atom_site_label
_atom_site_type_symbol
_atom_site_fract_x
_atom_site_fract_y
_atom_site_fract_z
Pu1 Pu 0.749 0.749 0.000
Pu2 Pu 0.000 0.000 0.251
Pu3 Pu 0.500 0.500 0.751
Pu4 Pu 0.751 0.751 0.500
Pu5 Pu 0.251 0.749 0.000
Pu6 Pu 0.000 0.000 0.749
Pu7 Pu 0.249 0.751 0.500
Pu8 Pu 0.749 0.251 0.000
Pu9 Pu 0.751 0.249 0.500
Pu10 Pu 0.251 0.251 0.000
Pu11 Pu 0.249 0.249 0.500
Pu12 Pu 0.500 0.500 0.249
Tl1 Tl 0.500 0.000 0.250
Tl2 Tl 0.000 0.500 0.750
Tl3 Tl 0.500 0.000 0.750
Tl4 Tl 0.000 0.500 0.250
C1 C 0.000 0.000 0.500
C2 C 0.500 0.500 0.000
```

As for the total magnetization: 34.8 μB per formula unit. The uncorrected energy is -11.108 eV per atom. The value obtained for the energy of formation from the pure elements is -3 meV per atom. Its mass density is 13.871 g/cm3.